Computed, not measured: a relaxed TiBeTe2W crystal at the PBEsol level of DFT.

DFT total energy, eV/atom: -5.7666
Total moment, μB/cell: 0.2
Space-group type: P4/mmm

The structure in extended XYZ format:
```
5
Lattice="-0.149 0.557 -4.080 -3.394 -3.346 -0.333 -3.358 3.348 0.580" Properties=species:S:1:pos:R:3 pbc="T T T"
Be 0.000 0.000 0.000
Te -1.679 1.674 0.290
Te -1.697 -1.673 -0.167
W -0.075 0.279 -2.040
Ti -3.451 0.280 -1.916
```

Computed, not measured: a relaxed BeTlTe2 crystal at the PBEsol level of DFT.

DFT total energy, eV/atom: -3.3576
Total moment, μB/cell: 0.0
Space-group type: P4mm
Energy relative to the lowest polymorph listed for this composition, eV per atom: 0.011

The structure in extended XYZ format:
```
4
Lattice="3.401 0.000 0.000 0.000 3.401 0.000 0.000 0.000 9.314" Properties=species:S:1:pos:R:3 pbc="T T T"
Be 1.700 1.700 8.843
Tl 0.000 0.000 4.557
Te 0.000 0.000 7.956
Te 1.700 1.700 1.929
```

Computed, not measured: a relaxed Be2TlTe crystal at the PBEsol level of DFT.

DFT total energy, eV/atom: -2.8759
Total moment, μB/cell: 0.0
Space-group type: Cmmm
Energy relative to the lowest polymorph listed for this composition, eV per atom: 0.280

The structure in extended XYZ format:
```
4
Lattice="3.510 0.052 0.000 -1.694 3.075 0.000 0.000 0.000 7.382" Properties=species:S:1:pos:R:3 pbc="T T T"
Be 0.000 0.000 1.949
Be 0.000 0.000 5.433
Tl 0.908 1.563 0.000
Te 0.908 1.563 3.691
```

Computed, not measured: a relaxed Be2TlTe crystal at the PBEsol level of DFT.

DFT total energy, eV/atom: -3.1558
Total moment, μB/cell: 0.0
Space-group type: Cm
Energy relative to the lowest polymorph listed for this composition, eV per atom: 0.000

The structure in extended XYZ format:
```
4
Lattice="-2.462 -2.543 1.197 1.407 -2.641 -2.718 4.940 -0.566 3.127" Properties=species:S:1:pos:R:3 pbc="T T T"
Be 2.808 -4.732 1.553
Be 3.307 -3.096 0.222
Tl 1.068 -2.896 1.875
Te 0.061 -3.369 -1.200
```

Computed, not measured: a relaxed BeTlTe crystal at the PBEsol level of DFT.

DFT total energy, eV/atom: -3.0249
Total moment, μB/cell: 0.0
Space-group type: F-43m
Energy relative to the lowest polymorph listed for this composition, eV per atom: 0.000

The structure in extended XYZ format:
```
3
Lattice="-0.028 2.766 -3.791 0.257 -1.892 -4.287 -3.747 0.071 -2.825" Properties=species:S:1:pos:R:3 pbc="T T T"
Be -0.879 0.236 -2.726
Tl -1.759 0.472 -5.452
Te 0.000 0.000 0.000
```

Computed, not measured: a relaxed Be3TlTe crystal at the PBEsol level of DFT.

DFT total energy, eV/atom: -2.6041
Total moment, μB/cell: 0.0
Space-group type: Pm-3m

The structure in extended XYZ format:
```
5
Lattice="4.617 0.000 0.000 0.000 4.617 0.000 0.000 0.000 4.617" Properties=species:S:1:pos:R:3 pbc="T T T"
Be 0.000 2.308 0.000
Be 0.000 0.000 2.308
Be 2.308 0.000 0.000
Tl 0.000 0.000 0.000
Te 2.308 2.308 2.308
```

Computed, not measured: a relaxed BeTlTe2 crystal at the PBEsol level of DFT.

DFT total energy, eV/atom: -3.3690
Total moment, μB/cell: 0.0
Space-group type: C2/m
Energy relative to the lowest polymorph listed for this composition, eV per atom: 0.000

The structure in extended XYZ format:
```
4
Lattice="-3.204 0.911 -1.506 -2.823 -4.920 -1.409 -4.261 -1.466 3.741" Properties=species:S:1:pos:R:3 pbc="T T T"
Be -3.542 -3.193 1.166
Tl -1.602 0.456 -0.753
Te -5.849 -4.065 1.111
Te -4.439 -1.411 -0.285
```

Computed, not measured: a relaxed Be2TlTe crystal at the PBEsol level of DFT.

DFT total energy, eV/atom: -2.7929
Total moment, μB/cell: 0.0
Space-group type: P4/mmm
Energy relative to the lowest polymorph listed for this composition, eV per atom: 0.363

The structure in extended XYZ format:
```
4
Lattice="-1.020 0.952 3.308 2.370 -3.494 1.737 3.680 2.678 0.364" Properties=species:S:1:pos:R:3 pbc="T T T"
Be 1.840 1.339 0.182
Be 1.185 -1.747 0.868
Tl -0.510 0.476 1.654
Te 2.515 0.068 2.704
```

no.,uncorrected formation energy (eV per atom)
1,0.870
2,0.063
3,0.663
4,0.383
5,0.360
6,1.027
7,0.052
8,0.746